# 1
The following is a DFT calculation (PBE) of a geometry-optimized Hf3NpPd12 structure.

a b c (Å): 4.040 4.040 16.252
angles (deg): 90.00 90.00 90.00
Fractional positions:
Pd (0.000, 0.500, 0.134)
Pd (0.000, 0.500, 0.866)
Pd (0.500, 0.500, 0.000)
Pd (0.000, 0.500, 0.378)
Pd (0.000, 0.500, 0.622)
Pd (0.500, 0.000, 0.134)
Hf (0.000, 0.000, 0.253)
Pd (0.500, 0.000, 0.622)
Np (0.000, 0.000, 0.000)
Hf (0.000, 0.000, 0.747)
Hf (0.000, 0.000, 0.500)
Pd (0.500, 0.000, 0.866)
Pd (0.500, 0.500, 0.500)
Pd (0.500, 0.000, 0.378)
Pd (0.500, 0.500, 0.256)
Pd (0.500, 0.500, 0.744)

- ΔH_f (0 K) (eV per formula unit) = -12.2
- DFT total energy (eV/atom) = -7.33
- total magnetization (μB per cell) = 3.7

# 2
The following is a DFT calculation (PBE) of a geometry-optimized HfNp2PdS4 structure.

a b c (Å): 6.470 5.771 5.771
angles (deg): 71.69 55.91 55.91
Fractional positions:
S (0.540, 0.000, 0.399)
S (0.939, 0.000, 0.601)
Hf (0.000, 0.000, 0.000)
Np (0.500, 0.500, 0.500)
S (0.061, 0.399, 0.000)
Pd (0.500, 0.000, 0.000)
Np (0.000, 0.500, 0.500)
S (0.460, 0.601, 0.000)

- DFT total energy (eV/atom) = -8.22
- total magnetization (μB per cell) = 8.4
- ΔE_f (raw) (eV per formula unit) = -8.2

# 3
The following is a DFT calculation (PBE) of a geometry-optimized HfNpTcPd structure.

a b c (Å): 4.746 4.746 4.746
angles (deg): 60.00 60.00 60.00
Fractional positions:
Tc (0.500, 0.500, 0.500)
Hf (0.750, 0.750, 0.750)
Np (0.250, 0.250, 0.250)
Pd (0.000, 0.000, 0.000)

- ΔH_f (0 K) (eV per formula unit) = -0.8
- DFT total energy (eV/atom) = -9.80
- total magnetization (μB per cell) = 3.6

# 4
The following is a DFT calculation (PBE) of a geometry-optimized HfZrNpPd structure.

a b c (Å): 4.861 4.861 4.861
angles (deg): 60.00 60.00 60.00
Fractional positions:
Hf (0.750, 0.750, 0.750)
Pd (0.500, 0.500, 0.500)
Zr (0.250, 0.250, 0.250)
Np (0.000, 0.000, 0.000)

- ΔH_f (0 K) (eV per formula unit) = 0.7
- DFT total energy (eV/atom) = -8.99
- total magnetization (μB per cell) = 5.1

# 5
The following is a DFT calculation (PBE) of a geometry-optimized HfNpPt2 structure.

a b c (Å): 3.251 3.251 7.523
angles (deg): 90.00 90.00 90.00
Fractional positions:
Hf (0.500, 0.500, 0.000)
Pt (0.000, 0.000, 0.789)
Pt (0.000, 0.000, 0.211)
Np (0.500, 0.500, 0.500)

- ΔH_f (0 K) (eV per formula unit) = -2.9
- DFT total energy (eV/atom) = -9.47
- total magnetization (μB per cell) = 4.3
- energy above the lowest structure with this stoichiometry (eV per atom) = 0.000

# 6
The following is a DFT calculation (PBE) of a geometry-optimized HfNpPt structure.

a b c (Å): 6.775 6.775 9.364
angles (deg): 141.08 141.08 28.47
Fractional positions:
Hf (0.783, 0.783, 0.181)
Pt (0.555, 0.555, 0.413)
Np (0.071, 0.071, 0.188)
Pt (0.445, 0.445, 0.587)
Np (0.929, 0.929, 0.812)
Hf (0.217, 0.217, 0.819)

- ΔH_f (0 K) (eV per formula unit) = -1.3
- DFT total energy (eV/atom) = -10.07
- total magnetization (μB per cell) = 2.1

# 7
The following is a DFT calculation (PBE) of a geometry-optimized HfNpPt2 structure.

a b c (Å): 4.067 4.067 6.574
angles (deg): 71.98 71.98 60.00
Fractional positions:
Pt (0.258, 0.258, 0.226)
Hf (0.000, 0.000, 0.000)
Pt (0.742, 0.742, 0.774)
Np (0.500, 0.500, 0.500)

- ΔH_f (0 K) (eV per formula unit) = -2.4
- DFT total energy (eV/atom) = -9.34
- total magnetization (μB per cell) = 3.9
- energy above the lowest structure with this stoichiometry (eV per atom) = 0.135

# 8
The following is a DFT calculation (PBE) of a geometry-optimized HfNp2Pt9 structure.

a b c (Å): 4.109 4.109 12.394
angles (deg): 90.00 90.00 90.00
Fractional positions:
Pt (0.500, 0.000, 0.158)
Pt (0.500, 0.000, 0.842)
Pt (0.500, 0.500, 0.327)
Pt (0.000, 0.500, 0.158)
Pt (0.500, 0.000, 0.500)
Np (0.000, 0.000, 0.332)
Np (0.000, 0.000, 0.668)
Pt (0.500, 0.500, 0.000)
Pt (0.500, 0.500, 0.673)
Pt (0.000, 0.500, 0.842)
Hf (0.000, 0.000, 0.000)
Pt (0.000, 0.500, 0.500)

- ΔH_f (0 K) (eV per formula unit) = -9.1
- DFT total energy (eV/atom) = -8.28
- total magnetization (μB per cell) = 6.6

# 9
The following is a DFT calculation (PBE) of a geometry-optimized Hf3NpPt12 structure.

a b c (Å): 4.059 4.059 16.297
angles (deg): 90.00 90.00 90.00
Fractional positions:
Pt (0.500, 0.500, 0.000)
Hf (0.000, 0.000, 0.253)
Pt (0.500, 0.000, 0.622)
Pt (0.500, 0.500, 0.256)
Pt (0.500, 0.000, 0.133)
Pt (0.000, 0.500, 0.622)
Pt (0.500, 0.500, 0.744)
Pt (0.000, 0.500, 0.133)
Pt (0.500, 0.000, 0.378)
Pt (0.000, 0.500, 0.378)
Pt (0.000, 0.500, 0.867)
Np (0.000, 0.000, 0.000)
Pt (0.500, 0.500, 0.500)
Pt (0.500, 0.000, 0.867)
Hf (0.000, 0.000, 0.500)
Hf (0.000, 0.000, 0.747)

- ΔH_f (0 K) (eV per formula unit) = -15.6
- DFT total energy (eV/atom) = -8.18
- total magnetization (μB per cell) = 3.4

# 10
The following is a DFT calculation (PBE) of a geometry-optimized HfNpTcPt structure.

a b c (Å): 4.749 4.749 4.749
angles (deg): 60.00 60.00 60.00
Fractional positions:
Pt (0.750, 0.750, 0.750)
Np (0.000, 0.000, 0.000)
Tc (0.250, 0.250, 0.250)
Hf (0.500, 0.500, 0.500)

- ΔH_f (0 K) (eV per formula unit) = -1.4
- DFT total energy (eV/atom) = -10.18
- total magnetization (μB per cell) = 3.5

# 11
The following is a DFT calculation (PBE) of a geometry-optimized HfNpTiPt structure.

a b c (Å): 4.720 4.720 4.720
angles (deg): 60.00 60.00 60.00
Fractional positions:
Np (0.750, 0.750, 0.750)
Pt (0.250, 0.250, 0.250)
Hf (0.000, 0.000, 0.000)
Ti (0.500, 0.500, 0.500)

- ΔH_f (0 K) (eV per formula unit) = -0.2
- DFT total energy (eV/atom) = -9.26
- total magnetization (μB per cell) = 4.8

# 12
The following is a DFT calculation (PBE) of a geometry-optimized HfZrNpPt structure.

a b c (Å): 4.835 4.835 4.835
angles (deg): 60.00 60.00 60.00
Fractional positions:
Hf (0.000, 0.000, 0.000)
Np (0.250, 0.250, 0.250)
Pt (0.750, 0.750, 0.750)
Zr (0.500, 0.500, 0.500)

- ΔH_f (0 K) (eV per formula unit) = -0.2
- DFT total energy (eV/atom) = -9.42
- total magnetization (μB per cell) = 4.6

- Which of these has the highest DFT total energy?
  Hf3NpPd12

- Look up the total magnetization of the fifth one.
  4.3 μB per cell

- Which of these has the lowest total magnetization?
  HfNpPt